#w
Crystalline Y3NbS at its relaxed geometry. Source: Alexandria via LeMat-Bulk, functional PBE-GGA.

The space group is Pm-3m (No. 221) and the conventional cell measures 5.409, 5.409 and 5.409 Å, with angles of 90.00, 90.00 and 90.00 degrees. Symmetry generates all atoms from Y at (0.000, 0.000, 0.500), Nb at (0.000, 0.000, 0.000) and S at (0.500, 0.500, 0.500).

=====

#x
Crystalline Y3NbS at its relaxed geometry. Source: Alexandria via LeMat-Bulk, functional PBE-GGA.

The space group is Pm-3m (No. 221) and the conventional cell measures 5.170, 5.170 and 5.170 Å, with angles of 90.00, 90.00 and 90.00 degrees. Symmetry generates all atoms from Y at (0.000, 0.000, 0.500), Nb at (0.500, 0.500, 0.500) and S at (0.000, 0.000, 0.000).

=====

Most stable one: #x, least stable one: #w.

=====

#w
Crystalline NbZnS3 at its relaxed geometry. Source: Alexandria via LeMat-Bulk, functional PBE-GGA.

The space group is Pm-3m (No. 221) and the conventional cell measures 4.814, 4.814 and 4.814 Å, with angles of 90.00, 90.00 and 90.00 degrees. Symmetry generates all atoms from Nb at (0.000, 0.000, 0.000), Zn at (0.500, 0.500, 0.500) and S at (0.000, 0.000, 0.500).

=====

#x
Crystalline NbZnS3 at its relaxed geometry. Source: Alexandria via LeMat-Bulk, functional PBE-GGA.

The space group is Pm-3m (No. 221) and the conventional cell measures 4.564, 4.564 and 4.564 Å, with angles of 90.00, 90.00 and 90.00 degrees. Symmetry generates all atoms from Nb at (0.000, 0.000, 0.000), Zn at (0.500, 0.500, 0.500) and S at (0.000, 0.500, 0.500).

=====

Most stable one: #w, least stable one: #x.